# Tm6In3Ir

A relaxed structure of Tm6In3Ir (PBE-GGA, Alexandria).

As for the formation energy: -0.463 eV/atom. The energy above the lowest structure with this stoichiometry comes out at 0.00 eV/f.u. The electronic total energy comes out at -4.85 eV per atom.

The structure belongs to space group P2_1/m (No. 11); the cell edges are 9.1021, 5.1870 and 11.2502 Å and the angles 90.00°, 107.37° and 90.00°. Symmetry generates all atoms from Tm at (0.0446, 0.2500, 0.4178), Tm at (0.1902, 0.7500, 0.1668), Tm at (0.2816, 0.2500, 0.0029), Tm at (0.3516, 0.7500, 0.8274), Tm at (0.3687, 0.2500, 0.3364), Tm at (0.4014, 0.2500, 0.6445), In at (0.0121, 0.7500, 0.8796), In at (0.0983, 0.2500, 0.7179), In at (0.2803, 0.7500, 0.4762) and Ir at (0.4588, 0.7500, 0.0947).